Below is crystalline NbReHg2 at its relaxed geometry, with properties calculated at the PBE level.

* energy above the lowest structure with this stoichiometry: 0.000 eV per atom
* space-group type: Fm-3m
* crystal system: cubic

Lattice parameters (Å, degrees): 4.6895 4.6895 4.6895 60.00 60.00 60.00
Element x y z (fractional)
Nb 0.0000 0.0000 0.0000
Re 0.5000 0.5000 0.5000
Hg 0.2500 0.2500 0.2500
Hg 0.7500 0.7500 0.7500

Below is crystalline Ac5Pm6Nd at its relaxed geometry, with properties calculated at the PBE level.

* space-group type: Immm
* crystal system: orthorhombic

Lattice parameters (Å, degrees): 10.0536 10.0536 10.0536 148.72 117.01 72.02
Element x y z (fractional)
Ac 0.0000 0.0000 0.0000
Ac 0.1670 0.6670 0.5000
Ac 0.3365 0.3365 0.0000
Ac 0.6635 0.6635 0.0000
Ac 0.8330 0.3330 0.5000
Pm 0.0862 0.8346 0.2516
Pm 0.2525 0.5000 0.7525
Pm 0.4170 0.1654 0.2516
Pm 0.5830 0.8346 0.7484
Pm 0.7475 0.5000 0.2475
Pm 0.9138 0.1654 0.7484
Nd 0.5000 0.0000 0.5000

Below is crystalline CeHgRh at its relaxed geometry, with properties calculated at the PBE level.

* space-group type: P-1
* crystal system: triclinic

Lattice parameters (Å, degrees): 4.2152 5.3032 6.9136 75.39 72.27 66.66
Element x y z (fractional)
Ce 0.0754 0.1796 0.1704
Ce 0.9246 0.8204 0.8296
Hg 0.3300 0.2784 0.5619
Hg 0.6700 0.7216 0.4381
Rh 0.3400 0.6639 0.1543
Rh 0.6600 0.3361 0.8457

Below is crystalline YBr at its relaxed geometry, with properties calculated at the PBE level.

* space-group type: P6_3mc
* crystal system: hexagonal
* uncorrected formation energy: -23.24 kcal/mol of atoms

Lattice parameters (Å, degrees): 3.6958 3.6958 9.9598 90.00 90.00 120.00
Element x y z (fractional)
Y 0.3333 0.6667 0.0000
Y 0.6667 0.3333 0.5000
Br 0.3333 0.6667 0.7106
Br 0.6667 0.3333 0.2106

Below is crystalline PaV2In at its relaxed geometry, with properties calculated at the PBE level.

* energy above the lowest structure with this stoichiometry: 0.000 eV per atom
* space-group type: P4/mmm
* crystal system: tetragonal

Lattice parameters (Å, degrees): 4.5997 4.5997 3.4482 90.00 90.00 90.00
Element x y z (fractional)
Pa 0.0000 0.0000 0.0000
V 0.0000 0.5000 0.5000
V 0.5000 0.0000 0.5000
In 0.5000 0.5000 0.0000

Below is crystalline MgTiAg at its relaxed geometry, with properties calculated at the PBE level.

* space-group type: C2/m
* crystal system: monoclinic

Lattice parameters (Å, degrees): 2.9438 2.9438 12.8411 90.01 90.01 89.28
Element x y z (fractional)
Mg 0.2485 0.2485 0.2606
Mg 0.7515 0.7515 0.7394
Ti 0.2502 0.2502 0.9258
Ti 0.7498 0.7498 0.0742
Ag 0.2502 0.2502 0.5820
Ag 0.7498 0.7498 0.4180

Calculated total energy, record by record: -0.183, -0.164, -0.187, -0.187, -0.275, -0.153 hartree per atom